1.
The following is a DFT calculation (GGA-PBE) of a relaxed structure of GdYBe2Ge2. Values from VASP.

Calculated total energy ... -5.3183 eV/atom
Size of the total moment ... 0.01 Bohr magnetons per cell
Crystal system ... trigonal

Cell and atoms, written as Quantum ESPRESSO input:
```
&SYSTEM
  ibrav = 0, nat = 6, ntyp = 4
/
ATOMIC_SPECIES
Be 9.01 Be.upf
Gd 157.25 Gd.upf
Ge 72.64 Ge.upf
Y 88.91 Y.upf
CELL_PARAMETERS angstrom
-2.294 0.116 -3.190
-1.587 -0.636 3.539
-0.989 8.046 1.003
ATOMIC_POSITIONS crystal
Be 0.333 0.667 0.249
Be 0.667 0.333 0.751
Gd 0.000 0.000 0.500
Ge 0.667 0.333 0.249
Ge 0.333 0.667 0.751
Y 0.000 0.000 0.000
```

---

2.
The following is a DFT calculation (GGA-PBE) of a relaxed structure of Y2Ni7Sn3. Values from VASP.

Calculated total energy ... -5.7636 eV/atom
Size of the total moment ... 0.02 Bohr magnetons per cell
Crystal system ... orthorhombic

Cell and atoms, written as Quantum ESPRESSO input:
```
&SYSTEM
  ibrav = 0, nat = 48, ntyp = 3
/
ATOMIC_SPECIES
Ni 58.69 Ni.upf
Sn 118.71 Sn.upf
Y 88.91 Y.upf
CELL_PARAMETERS angstrom
4.298 -11.873 0.000
4.298 11.873 0.000
0.000 0.000 7.555
ATOMIC_POSITIONS crystal
Ni 0.601 0.399 0.055
Ni 0.548 0.154 0.079
Ni 0.846 0.452 0.079
Ni 0.123 0.355 0.092
Ni 0.645 0.877 0.092
Ni 0.047 0.953 0.148
Ni 0.335 0.665 0.190
Ni 0.835 0.165 0.310
Ni 0.547 0.453 0.352
Ni 0.145 0.377 0.408
Ni 0.623 0.855 0.408
Ni 0.048 0.654 0.421
Ni 0.346 0.952 0.421
Ni 0.101 0.899 0.445
Ni 0.899 0.101 0.555
Ni 0.654 0.048 0.579
Ni 0.952 0.346 0.579
Ni 0.377 0.145 0.592
Ni 0.855 0.623 0.592
Ni 0.453 0.547 0.648
Ni 0.165 0.835 0.690
Ni 0.665 0.335 0.810
Ni 0.953 0.047 0.852
Ni 0.355 0.123 0.908
Ni 0.877 0.645 0.908
Ni 0.154 0.548 0.921
Ni 0.452 0.846 0.921
Ni 0.399 0.601 0.945
Sn 0.938 0.062 0.205
Sn 0.356 0.144 0.250
Sn 0.032 0.468 0.250
Sn 0.856 0.644 0.250
Sn 0.532 0.968 0.250
Sn 0.438 0.562 0.295
Sn 0.562 0.438 0.705
Sn 0.468 0.032 0.750
Sn 0.144 0.356 0.750
Sn 0.968 0.532 0.750
Sn 0.644 0.856 0.750
Sn 0.062 0.938 0.795
Y 0.294 0.294 0.000
Y 0.706 0.706 0.000
Y 0.194 0.806 0.073
Y 0.694 0.306 0.427
Y 0.206 0.206 0.500
Y 0.794 0.794 0.500
Y 0.306 0.694 0.573
Y 0.806 0.194 0.927
```

---

3.
The following is a DFT calculation (GGA-PBE) of a relaxed structure of Cu2TcF8. Values from VASP.

Calculated total energy ... -4.5802 eV/atom
Size of the total moment ... 1.00 Bohr magnetons per cell
Crystal system ... tetragonal

Cell and atoms, written as Quantum ESPRESSO input:
```
&SYSTEM
  ibrav = 0, nat = 11, ntyp = 3
/
ATOMIC_SPECIES
Cu 63.55 Cu.upf
F 19.00 F.upf
Tc 98.00 Tc.upf
CELL_PARAMETERS angstrom
-0.985 2.802 5.382
-5.085 3.450 0.165
1.282 -5.760 -1.723
ATOMIC_POSITIONS crystal
Cu 0.320 0.320 0.000
Cu 0.680 0.680 0.000
F 0.999 0.383 0.057
F 0.710 0.247 0.089
F 0.058 0.001 0.384
F 0.753 0.842 0.463
F 0.379 0.290 0.537
F 0.617 0.674 0.616
F 0.158 0.621 0.911
F 0.326 0.942 0.943
Tc 0.000 0.000 0.000
```

---

4.
The following is a DFT calculation (GGA-PBE) of a relaxed structure of Y3Te5Ir. Values from VASP.

Offset from the most stable computed form ... 0 meV per atom
Size of the total moment ... 0.03 Bohr magnetons per cell
Crystal system ... hexagonal

Cell and atoms, written as Quantum ESPRESSO input:
```
&SYSTEM
  ibrav = 0, nat = 9, ntyp = 3
/
ATOMIC_SPECIES
Ir 192.22 Ir.upf
Te 127.60 Te.upf
Y 88.91 Y.upf
CELL_PARAMETERS angstrom
8.475 0.000 0.000
-4.237 7.339 0.000
0.000 0.000 4.302
ATOMIC_POSITIONS crystal
Ir 0.000 0.000 0.000
Te 0.691 0.000 0.000
Te 0.309 0.309 0.000
Te 0.000 0.691 0.000
Te 0.667 0.333 0.500
Te 0.333 0.667 0.500
Y 0.265 0.000 0.500
Y 0.000 0.265 0.500
Y 0.735 0.735 0.500
```

---

5.
The following is a DFT calculation (GGA-PBE) of a relaxed structure of RbLiIr. Values from VASP.

Offset from the most stable computed form ... 402 meV per atom
Size of the total moment ... 1.00 Bohr magnetons per cell
Crystal system ... cubic

Cell and atoms, written as Quantum ESPRESSO input:
```
&SYSTEM
  ibrav = 0, nat = 3, ntyp = 3
/
ATOMIC_SPECIES
Ir 192.22 Ir.upf
Li 6.94 Li.upf
Rb 85.47 Rb.upf
CELL_PARAMETERS angstrom
0.000 3.555 3.555
3.555 0.000 3.555
3.555 3.555 0.000
ATOMIC_POSITIONS crystal
Ir 0.250 0.250 0.250
Li 0.750 0.750 0.750
Rb 0.000 0.000 0.000
```

---

6.
The following is a DFT calculation (GGA-PBE) of a relaxed structure of TaRePd. Values from VASP.

Offset from the most stable computed form ... 0 meV per atom
ΔH_f (0 K) ... 0.641 eV per atom
Size of the total moment ... 0.00 Bohr magnetons per cell
Crystal system ... cubic

Cell and atoms, written as Quantum ESPRESSO input:
```
&SYSTEM
  ibrav = 0, nat = 3, ntyp = 3
/
ATOMIC_SPECIES
Pd 106.42 Pd.upf
Re 186.21 Re.upf
Ta 180.95 Ta.upf
CELL_PARAMETERS angstrom
0.000 3.050 3.050
3.050 0.000 3.050
3.050 3.050 0.000
ATOMIC_POSITIONS crystal
Pd 0.250 0.250 0.250
Re 0.750 0.750 0.750
Ta 0.000 0.000 0.000
```

---

7.
The following is a DFT calculation (GGA-PBE) of a relaxed structure of Hg2Pt7. Values from VASP.

Offset from the most stable computed form ... 0 meV per atom
ΔH_f (0 K) ... 0.110 eV per atom
Size of the total moment ... 0.01 Bohr magnetons per cell
Crystal system ... trigonal

Cell and atoms, written as Quantum ESPRESSO input:
```
&SYSTEM
  ibrav = 0, nat = 9, ntyp = 2
/
ATOMIC_SPECIES
Hg 200.59 Hg.upf
Pt 195.08 Pt.upf
CELL_PARAMETERS angstrom
2.833 0.000 0.000
-1.416 2.453 0.000
0.000 0.000 33.340
ATOMIC_POSITIONS crystal
Hg 0.333 0.667 0.220
Hg 0.667 0.333 0.780
Pt 0.000 0.000 0.296
Pt 0.667 0.333 0.366
Pt 0.333 0.667 0.433
Pt 0.000 0.000 0.500
Pt 0.667 0.333 0.567
Pt 0.333 0.667 0.634
Pt 0.000 0.000 0.704
```

---

8.
The following is a DFT calculation (GGA-PBE) of a relaxed structure of Gd3Cd2InCuPt2. Values from VASP.

Calculated total energy ... -4.5813 eV/atom
Size of the total moment ... 0.01 Bohr magnetons per cell
Crystal system ... orthorhombic

Cell and atoms, written as Quantum ESPRESSO input:
```
&SYSTEM
  ibrav = 0, nat = 9, ntyp = 5
/
ATOMIC_SPECIES
Cd 112.41 Cd.upf
Cu 63.55 Cu.upf
Gd 157.25 Gd.upf
In 114.82 In.upf
Pt 195.08 Pt.upf
CELL_PARAMETERS angstrom
3.818 0.000 0.000
0.000 6.680 3.846
0.000 -6.680 3.846
ATOMIC_POSITIONS crystal
Cd 0.500 0.751 0.002
Cd 0.500 0.002 0.751
Cu 0.000 0.001 0.001
Gd 0.000 0.998 0.413
Gd 0.000 0.589 0.589
Gd 0.000 0.413 0.998
In 0.500 0.248 0.248
Pt 0.500 0.663 0.333
Pt 0.500 0.333 0.663
```

---

- The lowest size of the total moment belongs to which entry?
  TaRePd

---

Copy entry 2 word for word.
The following is a DFT calculation (GGA-PBE) of a relaxed structure of Y2Ni7Sn3. Values from VASP.

Calculated total energy ... -5.7636 eV/atom
Size of the total moment ... 0.02 Bohr magnetons per cell
Crystal system ... orthorhombic

Cell and atoms, written as Quantum ESPRESSO input:
```
&SYSTEM
  ibrav = 0, nat = 48, ntyp = 3
/
ATOMIC_SPECIES
Ni 58.69 Ni.upf
Sn 118.71 Sn.upf
Y 88.91 Y.upf
CELL_PARAMETERS angstrom
4.298 -11.873 0.000
4.298 11.873 0.000
0.000 0.000 7.555
ATOMIC_POSITIONS crystal
Ni 0.601 0.399 0.055
Ni 0.548 0.154 0.079
Ni 0.846 0.452 0.079
Ni 0.123 0.355 0.092
Ni 0.645 0.877 0.092
Ni 0.047 0.953 0.148
Ni 0.335 0.665 0.190
Ni 0.835 0.165 0.310
Ni 0.547 0.453 0.352
Ni 0.145 0.377 0.408
Ni 0.623 0.855 0.408
Ni 0.048 0.654 0.421
Ni 0.346 0.952 0.421
Ni 0.101 0.899 0.445
Ni 0.899 0.101 0.555
Ni 0.654 0.048 0.579
Ni 0.952 0.346 0.579
Ni 0.377 0.145 0.592
Ni 0.855 0.623 0.592
Ni 0.453 0.547 0.648
Ni 0.165 0.835 0.690
Ni 0.665 0.335 0.810
Ni 0.953 0.047 0.852
Ni 0.355 0.123 0.908
Ni 0.877 0.645 0.908
Ni 0.154 0.548 0.921
Ni 0.452 0.846 0.921
Ni 0.399 0.601 0.945
Sn 0.938 0.062 0.205
Sn 0.356 0.144 0.250
Sn 0.032 0.468 0.250
Sn 0.856 0.644 0.250
Sn 0.532 0.968 0.250
Sn 0.438 0.562 0.295
Sn 0.562 0.438 0.705
Sn 0.468 0.032 0.750
Sn 0.144 0.356 0.750
Sn 0.968 0.532 0.750
Sn 0.644 0.856 0.750
Sn 0.062 0.938 0.795
Y 0.294 0.294 0.000
Y 0.706 0.706 0.000
Y 0.194 0.806 0.073
Y 0.694 0.306 0.427
Y 0.206 0.206 0.500
Y 0.794 0.794 0.500
Y 0.306 0.694 0.573
Y 0.806 0.194 0.927
```